# 1
Compound: LaFeAs2
Source: the Alexandria database
Functional: GGA-PBE
Structure: optimized geometry

Cell and atoms, written as POSCAR:
```
LaFeAs2
1.0
4.5934 0.0000 0.0000
0.0000 4.5934 0.0000
0.0000 0.0000 4.0210
As Fe La
2 1 1
direct
0.5000 0.5000 0.0000
0.0000 0.0000 0.0000
0.5000 0.0000 0.5000
0.0000 0.5000 0.5000
```

Output
The symmetry is No. 123. The energy above the most stable polymorph in this dataset is 0.3870 eV/atom.

---

# 2
Compound: BeAlHg2
Source: the Alexandria database
Functional: GGA-PBE
Structure: optimized geometry

Cell and atoms, written as POSCAR:
```
BeAlHg2
1.0
3.1565 0.0000 0.0000
0.0000 5.8321 0.0000
0.0000 0.0000 4.3048
Be Hg Al
1 2 1
direct
0.0000 0.5000 0.5000
0.5000 0.5000 0.0000
0.0000 0.0000 0.0000
0.5000 0.0000 0.5000
```

Output
The symmetry is No. 47. The energy above the most stable polymorph in this dataset is 0.2441 eV/atom.

---

# 3
Compound: Ce5Al2Pb2
Source: the Alexandria database
Functional: GGA-PBE
Structure: optimized geometry

Cell and atoms, written as POSCAR:
```
Ce5Al2Pb2
1.0
8.1638 0.0000 0.0000
0.0000 8.1851 0.0000
0.0000 -4.0925 7.9307
Ce Pb Al
10 4 4
direct
0.6822 0.3178 0.2626
0.0000 0.0000 0.0000
0.1822 0.4449 0.2626
0.8178 0.5551 0.7374
0.3178 0.6822 0.7374
0.3178 0.9449 0.2626
0.6822 0.0551 0.7374
0.1822 0.1822 0.7374
0.8178 0.8178 0.2626
0.5000 0.5000 0.0000
0.5000 0.2835 0.5671
0.5000 0.7165 0.4329
0.0000 0.2165 0.4329
0.0000 0.7835 0.5671
0.6149 0.8877 0.0000
0.1149 0.6123 0.0000
0.8851 0.3877 0.0000
0.3851 0.1123 0.0000
```

Output
The symmetry is No. 64. The value obtained for the electronic total energy is -93.85 eV/cell.

---

# 4
Compound: Tb4CdIr2Pd
Source: the Alexandria database
Functional: GGA-PBE
Structure: optimized geometry

Cell and atoms, written as POSCAR:
```
Tb4CdIr2Pd
1.0
-3.0337 -3.9698 -0.0410
0.7189 -3.6594 -3.3251
4.1381 -6.3493 4.1284
Tb Ir Cd Pd
4 2 1 1
direct
0.3791 0.3791 0.8627
0.6209 0.6209 0.1373
0.8713 0.8713 0.3860
0.1287 0.1287 0.6140
0.7483 0.7483 0.7551
0.2517 0.2517 0.2449
0.0000 0.0000 0.0000
0.5000 0.5000 0.5000
```

Output
The symmetry is No. 166. The value obtained for the electronic total energy is -47.93 eV/cell.

---

# 5
Compound: CdCu2Br
Source: the Alexandria database
Functional: GGA-PBE
Structure: optimized geometry

Cell and atoms, written as POSCAR:
```
CdCu2Br
1.0
5.5078 -0.1180 0.2872
-1.6542 5.2548 0.2872
1.0164 1.3548 2.8831
Cu Cd Br
2 1 1
direct
0.0000 0.0000 0.0000
0.5000 0.5000 0.0000
0.0000 0.5000 0.5000
0.5000 0.0000 0.5000
```

Output
The symmetry is No. 12. The energy above the most stable polymorph in this dataset is 0.3078 eV/atom. As for the uncorrected formation energy: 0.358 eV per atom.

---

# 6
Compound: Tm4Ga3Si
Source: the Alexandria database
Functional: GGA-PBE
Structure: optimized geometry

Cell and atoms, written as POSCAR:
```
Tm4Ga3Si
1.0
-0.5527 -3.9578 1.5437
2.3048 -1.4356 -2.8554
8.5027 1.2454 6.2371
Tm Ga Si
4 3 1
direct
0.0000 0.5000 0.8634
0.5000 0.5000 0.3569
0.0000 0.0000 0.1389
0.5000 0.0000 0.6402
0.0000 0.5000 0.5794
0.5000 0.0000 0.9243
0.0000 0.0000 0.4196
0.5000 0.5000 0.0773
```

Output
The symmetry is No. 25. As for the uncorrected formation energy: -0.679 eV per atom.

---

# 7
Compound: LiVSeN2
Source: the Alexandria database
Functional: GGA-PBE
Structure: optimized geometry

Cell and atoms, written as POSCAR:
```
LiVSeN2
1.0
3.6362 0.0000 0.0000
0.0000 3.6362 0.0000
0.0000 0.0000 4.4908
V Se N Li
1 1 2 1
direct
0.5000 0.5000 0.5000
0.0000 0.0000 0.5000
0.0000 0.5000 0.0000
0.5000 0.0000 0.0000
0.0000 0.0000 0.0000
```

Output
The symmetry is No. 123. The energy above the most stable polymorph in this dataset is 1.4587 eV/atom. As for the uncorrected formation energy: 1.452 eV per atom.

---

# 8
Compound: PmEr3Ir3
Source: the Alexandria database
Functional: GGA-PBE
Structure: optimized geometry

Cell and atoms, written as POSCAR:
```
PmEr3Ir3
1.0
-5.3036 -0.5369 -4.5224
-3.6650 -3.1233 5.0677
-2.2694 5.8594 1.9680
Er Ir Pm
6 6 2
direct
0.7709 0.2291 0.0000
0.2435 0.7565 0.5000
0.2446 0.2445 0.5005
0.2291 0.7709 0.0000
0.7554 0.7555 0.4995
0.7565 0.2435 0.5000
0.0000 0.5000 0.2542
0.5000 0.0000 0.2542
0.9999 0.9999 0.7460
0.0000 0.5000 0.7458
0.5000 0.0000 0.7458
0.0001 0.0001 0.2540
0.7336 0.7336 0.9996
0.2664 0.2664 0.0004
```

Output
The symmetry is No. 12. The value obtained for the electronic total energy is -99.93 eV/cell.

---

# 9
Compound: NbZnCdCu
Source: the Alexandria database
Functional: GGA-PBE
Structure: optimized geometry

Cell and atoms, written as POSCAR:
```
NbZnCdCu
1.0
-2.2394 -2.5825 -2.9398
2.2648 -2.4221 -3.0546
0.1691 -4.4910 0.3592
Cd Nb Zn Cu
1 1 1 1
direct
0.2500 0.2500 0.2500
0.7500 0.7500 0.7500
0.5000 0.5000 0.5000
0.0000 0.0000 0.0000
```

Output
The symmetry is No. 216. The value obtained for the electronic total energy is -15.64 eV/cell.

---

# 10
Compound: MnAl2CuTe
Source: the Alexandria database
Functional: GGA-PBE
Structure: optimized geometry

Cell and atoms, written as POSCAR:
```
MnAl2CuTe
1.0
-1.8108 4.1815 -1.4040
-4.2802 -1.8852 -0.0942
-0.6500 1.2482 4.5557
Al Mn Te Cu
2 1 1 1
direct
0.5000 0.0000 0.0000
0.0000 0.0000 0.5000
0.0000 0.0000 0.0000
0.5000 0.5000 0.5000
0.0000 0.5000 0.0000
```

Output
The symmetry is No. 123. As for the uncorrected formation energy: 0.583 eV per atom.

---

# 11
Compound: Li2HoTmSe4
Source: the Alexandria database
Functional: GGA-PBE
Structure: optimized geometry

Cell and atoms, written as POSCAR:
```
Li2HoTmSe4
1.0
4.0375 0.0000 0.0000
0.0000 6.9885 0.1195
0.0000 -2.4363 6.4466
Li Ho Se Tm
2 1 4 1
direct
0.0000 0.5000 0.5000
0.5000 0.0000 0.5000
0.5000 0.5000 0.0000
0.5000 0.7517 0.7491
0.5000 0.2483 0.2509
0.0000 0.2477 0.7481
0.0000 0.7523 0.2519
0.0000 0.0000 0.0000
```

Output
The symmetry is No. 10. As for the uncorrected formation energy: -1.696 eV per atom.

---

# 12
Compound: MnRh3Pb
Source: the Alexandria database
Functional: GGA-PBE
Structure: optimized geometry

Cell and atoms, written as POSCAR:
```
MnRh3Pb
1.0
4.9358 0.0000 0.0000
0.0000 4.9358 0.0000
0.0000 0.0000 4.9358
Rh Mn Pb
3 1 1
direct
0.0000 0.5000 0.0000
0.0000 0.0000 0.5000
0.5000 0.0000 0.0000
0.5000 0.5000 0.5000
0.0000 0.0000 0.0000
```

Output
The symmetry is No. 221. The energy above the most stable polymorph in this dataset is 0.7412 eV/atom.

---

# 13
Compound: Sr2MnCd
Source: the Alexandria database
Functional: GGA-PBE
Structure: optimized geometry

Cell and atoms, written as POSCAR:
```
Sr2MnCd
1.0
5.4987 0.0000 0.0000
2.7494 4.7620 0.0000
2.7494 1.5873 4.4897
Sr Mn Cd
2 1 1
direct
0.2500 0.2500 0.2500
0.0000 0.0000 0.0000
0.7500 0.7500 0.7500
0.5000 0.5000 0.5000
```

Output
The symmetry is No. 216. The value obtained for the electronic total energy is -12.26 eV/cell.

---

# 14
Compound: CsGaTe3
Source: the Alexandria database
Functional: GGA-PBE
Structure: optimized geometry

Cell and atoms, written as POSCAR:
```
CsGaTe3
1.0
-5.3213 -2.0462 -2.9991
0.8408 -5.8712 2.5140
-3.5319 1.6853 5.1169
Cs Ga Te
1 1 3
direct
0.0000 0.0000 0.0000
0.5000 0.5000 0.5000
0.5000 0.0000 0.0000
0.0000 0.0000 0.5000
0.0000 0.5000 0.0000
```

Output
The symmetry is No. 221. The energy above the most stable polymorph in this dataset is 1.4369 eV/atom. As for the uncorrected formation energy: 0.839 eV per atom.

---

# 15
Compound: La2TbSb3
Source: the Alexandria database
Functional: GGA-PBE
Structure: optimized geometry

Cell and atoms, written as POSCAR:
```
La2TbSb3
1.0
4.5583 0.0000 0.0000
0.0000 6.4485 0.0000
-2.2791 -3.2243 6.8191
Tb Sb La
1 3 2
direct
0.0000 0.5000 0.0000
0.6600 0.6600 0.3199
0.3400 0.3400 0.6801
0.0000 0.0000 0.0000
0.3319 0.8319 0.6637
0.6681 0.1681 0.3363
```

Output
The symmetry is No. 71. The energy above the most stable polymorph in this dataset is 0.0035 eV/atom. As for the uncorrected formation energy: -1.223 eV per atom.

---

# 16
Compound: Zr2Tl2Te6Pd
Source: the Alexandria database
Functional: GGA-PBE
Structure: optimized geometry

Cell and atoms, written as POSCAR:
```
Zr2Tl2Te6Pd
1.0
-5.6327 2.7985 3.2182
4.7340 -3.6019 3.8120
4.5150 7.2125 -1.0820
Te Tl Pd Zr
6 2 1 2
direct
0.5915 0.9068 0.2871
0.2574 0.2574 0.3158
0.4085 0.0932 0.7129
0.0932 0.4085 0.7129
0.9068 0.5915 0.2871
0.7426 0.7426 0.6842
0.1662 0.8338 0.0000
0.8338 0.1662 0.0000
0.0000 0.0000 0.5000
0.3177 0.6823 0.5000
0.6823 0.3177 0.5000
```

Output
The symmetry is No. 12. As for the uncorrected formation energy: -0.552 eV per atom.

---

# 17
Compound: PmSb3Pd
Source: the Alexandria database
Functional: GGA-PBE
Structure: optimized geometry

Cell and atoms, written as POSCAR:
```
PmSb3Pd
1.0
-4.7132 -3.8309 -1.2855
2.3013 -4.1968 4.0697
-6.9452 5.3690 9.4640
Pd Sb Pm
4 12 4
direct
0.5000 0.7500 0.8990
0.5000 0.2500 0.1010
0.0000 0.7500 0.8990
0.0000 0.2500 0.1010
0.2500 0.6179 0.0612
0.7500 0.8821 0.0612
0.7500 0.0116 0.7678
0.2500 0.9884 0.2322
0.5000 0.2500 0.4975
0.5000 0.7500 0.5025
0.7500 0.3821 0.9388
0.7500 0.5116 0.2322
0.2500 0.1179 0.9388
0.0000 0.7500 0.5025
0.2500 0.4884 0.7678
0.0000 0.2500 0.4975
0.7500 0.0019 0.3094
0.2500 0.4981 0.3094
0.7500 0.5019 0.6906
0.2500 0.9981 0.6906
```

Output
The symmetry is No. 57. As for the uncorrected formation energy: -0.661 eV per atom.

---

# 18
Compound: YZrTc
Source: the Alexandria database
Functional: GGA-PBE
Structure: optimized geometry

Cell and atoms, written as POSCAR:
```
YZrTc
1.0
-0.3706 5.6475 -1.7403
-2.8230 1.3716 -5.0210
-12.3436 3.6654 4.4500
Zr Y Tc
6 6 6
direct
0.7206 0.2305 0.3282
0.2794 0.2794 0.6718
0.2794 0.7695 0.6718
0.7206 0.7206 0.3282
0.2305 0.7206 0.3282
0.7695 0.2794 0.6718
0.8184 0.8184 0.5447
0.9630 0.9630 0.1109
0.7271 0.7271 0.8186
0.0370 0.0370 0.8891
0.2729 0.2729 0.1814
0.1816 0.1816 0.4553
0.3821 0.3821 0.8537
0.5000 0.0000 0.0000
0.6179 0.6179 0.1463
0.5000 0.5000 0.0000
0.0000 0.5000 0.0000
0.5000 0.5000 0.5000
```

Output
The symmetry is No. 166. The energy above the most stable polymorph in this dataset is 0.1489 eV/atom.

---

# 19
Compound: DyHo2Ga2
Source: the Alexandria database
Functional: GGA-PBE
Structure: optimized geometry

Cell and atoms, written as POSCAR:
```
DyHo2Ga2
1.0
-1.1281 2.7185 3.1360
-7.2432 -0.2496 -2.3893
-1.3282 -5.9082 4.6438
Dy Ho Ga
2 4 4
direct
0.0000 0.5000 0.5000
0.0000 0.0000 0.0000
0.5000 0.6742 0.8258
0.5000 0.1742 0.6742
0.5000 0.3258 0.1742
0.5000 0.8258 0.3258
0.0000 0.6200 0.1200
0.0000 0.3800 0.8800
0.0000 0.1200 0.3800
0.0000 0.8800 0.6200
```

Output
The symmetry is No. 127. The energy above the most stable polymorph in this dataset is 0.0000 eV/atom.

---

# 20
Compound: Mg3Tc2
Source: the Alexandria database
Functional: GGA-PBE
Structure: optimized geometry

Cell and atoms, written as POSCAR:
```
Mg3Tc2
1.0
-0.4381 2.6693 -1.4684
-8.9071 -1.7257 -3.7054
-1.7067 1.0138 2.3521
Mg Tc
3 2
direct
0.7811 0.4378 0.7811
0.0189 0.9622 0.0189
0.4000 0.2000 0.4000
0.6143 0.7715 0.6143
0.1857 0.6285 0.1857
```

Output
The symmetry is No. 139. The energy above the most stable polymorph in this dataset is 0.0000 eV/atom.

---

# 21
Compound: Th4ZrN5
Source: the Alexandria database
Functional: GGA-PBE
Structure: optimized geometry

Cell and atoms, written as POSCAR:
```
Th4ZrN5
1.0
4.5861 0.0000 2.2120
2.2930 5.6591 1.1060
-0.1655 0.0000 6.2031
N Th Zr
5 4 1
direct
0.5009 0.0000 0.0000
0.2864 0.8116 0.6177
0.0980 0.6177 0.1884
0.7157 0.1884 0.3823
0.9041 0.3823 0.8116
0.6016 0.6009 0.1980
0.4005 0.3991 0.8020
0.7996 0.8020 0.6009
0.2025 0.1980 0.3991
0.0011 0.0000 0.0000
```

Output
The symmetry is No. 87. As for the uncorrected formation energy: -1.537 eV per atom.

---

# 22
Compound: K2Tm2PaS6
Source: the Alexandria database
Functional: GGA-PBE
Structure: optimized geometry

Cell and atoms, written as POSCAR:
```
K2Tm2PaS6
1.0
-2.5096 0.2855 -6.4302
-3.4920 -3.3563 4.9263
-1.6580 7.3838 2.2245
K S Tm Pa
2 6 2 1
direct
0.8323 0.1677 0.0000
0.1677 0.8323 0.0000
0.7330 0.7330 0.6945
0.3990 0.0633 0.6946
0.2670 0.2670 0.3055
0.6010 0.9367 0.3054
0.9367 0.6010 0.3054
0.0633 0.3990 0.6946
0.6663 0.3337 0.5000
0.3337 0.6663 0.5000
0.0000 0.0000 0.5000
```

Output
The symmetry is No. 12. As for the uncorrected formation energy: -1.818 eV per atom.